(1)
A plane-wave DFT calculation with PBE-GGA was carried out for a relaxed ThCu3Ge2 crystal.

```
ThCu3Ge2
1.0
7.6970 -2.0457 0.0000
7.6970 2.0457 0.0000
-3.1554 0.0000 6.5103
Th Cu Ge
2 6 4
Direct
0.1469 0.1469 0.0700
0.8531 0.8531 0.9300
0.0377 0.0377 0.3794
0.3101 0.3101 0.5440
0.4033 0.4033 0.3276
0.5967 0.5967 0.6724
0.6899 0.6899 0.4560
0.9623 0.9623 0.6206
0.1939 0.1939 0.6943
0.4786 0.4786 0.8111
0.5214 0.5214 0.1889
0.8061 0.8061 0.3057
```

Results
The calculated total energy is -5.2031 eV/atom. The density of states at the Fermi level comes out at 1.36 states/eV/f.u. As for the formation enthalpy at 0 K: -0.379 eV/atom. As for the space-group type: C2/m.

***

(2)
A plane-wave DFT calculation with PBE-GGA was carried out for a relaxed ErLuMgZn crystal.

```
ErLuMgZn
1.0
7.2441 0.0000 0.0000
0.0000 7.2441 0.0000
0.0000 0.0000 7.2441
Er Lu Mg Zn
4 4 4 4
Direct
0.0000 0.0000 0.0000
0.0000 0.5000 0.5000
0.5000 0.0000 0.5000
0.5000 0.5000 0.0000
0.0000 0.0000 0.5000
0.0000 0.5000 0.0000
0.5000 0.0000 0.0000
0.5000 0.5000 0.5000
0.2500 0.2500 0.7500
0.2500 0.7500 0.2500
0.7500 0.2500 0.2500
0.7500 0.7500 0.7500
0.2500 0.2500 0.2500
0.2500 0.7500 0.7500
0.7500 0.2500 0.7500
0.7500 0.7500 0.2500
```

Results
The calculated total energy is -3.1552 eV/atom. The density of states at the Fermi level comes out at 3.49 states/eV/f.u. As for the formation enthalpy at 0 K: -0.167 eV/atom. As for the space-group type: F-43m.